# 1
# ErAu3

ErAu3 at its PBEsol-relaxed geometry (meta-GGA SCAN, Alexandria).

It has space group Fm-3m (No. 225), with a = 6.7179 Å, b = 6.7179 Å, c = 6.7179 Å, α = 90.00°, β = 90.00° and γ = 90.00°. The distinct sites, in fractional coordinates, are Er at (0.0000, 0.0000, 0.0000), Au at (0.0000, 0.0000, 0.5000) and Au at (0.2500, 0.2500, 0.2500).

The value obtained for the energy relative to the elements is -0.811 eV per atom. The density of states at the Fermi level is 6.1 states/eV/cell.



# 2
# K3NiAu

K3NiAu at its PBEsol-relaxed geometry (meta-GGA SCAN, Alexandria).

It has space group Pm-3m (No. 221), with a = 6.0810 Å, b = 6.0810 Å, c = 6.0810 Å, α = 90.00°, β = 90.00° and γ = 90.00°. The distinct sites, in fractional coordinates, are K at (0.0000, 0.0000, 0.5000), Ni at (0.5000, 0.5000, 0.5000) and Au at (0.0000, 0.0000, 0.0000).

The value obtained for the energy relative to the elements is 0.445 eV per atom. The density of states at the Fermi level is 8.2 states/eV/cell.



# 3
# CeP5

CeP5 at its PBEsol-relaxed geometry (meta-GGA SCAN, Alexandria).

It has space group P2_1/m (No. 11), with a = 4.4597 Å, b = 9.4272 Å, c = 5.4995 Å, α = 90.00°, β = 110.81° and γ = 90.00°. The distinct sites, in fractional coordinates, are Ce at (0.1102, 0.2500, 0.4174), P at (0.2419, 0.2500, 0.9513), P at (0.2833, 0.5602, 0.3847) and P at (0.3648, 0.5974, 0.0138).

The value obtained for the energy relative to the elements is -0.553 eV per atom. The density of states at the Fermi level is 8.0 states/eV/cell.



# 4
# La2CoAs

La2CoAs at its PBEsol-relaxed geometry (meta-GGA SCAN, Alexandria).

It has space group I-42d (No. 122), with a = 7.6271 Å, b = 7.6271 Å, c = 6.2985 Å, α = 90.00°, β = 90.00° and γ = 90.00°. The distinct sites, in fractional coordinates, are La at (0.2013, 0.7500, 0.1250), Co at (0.0000, 0.0000, 0.0000) and As at (0.0000, 0.0000, 0.5000).

The value obtained for the energy relative to the elements is -0.349 eV per atom. The density of states at the Fermi level is 12.5 states/eV/cell.



# 5
# Rb2TaO

Rb2TaO at its PBEsol-relaxed geometry (meta-GGA SCAN, Alexandria).

It has space group I-42d (No. 122), with a = 12.7703 Å, b = 12.7703 Å, c = 3.9150 Å, α = 90.00°, β = 90.00° and γ = 90.00°. The distinct sites, in fractional coordinates, are Rb at (0.0653, 0.7500, 0.1250), Ta at (0.0000, 0.0000, 0.5000) and O at (0.0000, 0.0000, 0.0000).

As for the uncorrected formation energy: -28.3 kJ per mole of atoms. The density of states at the Fermi level is 10.7 states/eV/cell.



# 6
# MgZnMo2

MgZnMo2 at its PBEsol-relaxed geometry (meta-GGA SCAN, Alexandria).

It has space group Pmmm (No. 47), with a = 2.6466 Å, b = 4.4076 Å, c = 5.2685 Å, α = 90.00°, β = 90.00° and γ = 90.00°. The distinct sites, in fractional coordinates, are Mg at (0.0000, 0.0000, 0.0000), Zn at (0.0000, 0.0000, 0.5000) and Mo at (0.5000, 0.5000, 0.2493).

As for the relative energy among the computed polymorphs: 0.121 eV/atom. The value obtained for the energy relative to the elements is 0.242 eV per atom. The density of states at the Fermi level is 1.8 states/eV/cell.



# 7
# Tl2ZnIr

Tl2ZnIr at its PBEsol-relaxed geometry (meta-GGA SCAN, Alexandria).

It has space group Pmmm (No. 47), with a = 3.2707 Å, b = 3.9524 Å, c = 5.7731 Å, α = 90.00°, β = 90.00° and γ = 90.00°. The distinct sites, in fractional coordinates, are Tl at (0.0000, 0.0000, 0.2466), Zn at (0.5000, 0.5000, 0.5000) and Ir at (0.5000, 0.5000, 0.0000).

As for the relative energy among the computed polymorphs: 0.000 eV/atom. The value obtained for the energy relative to the elements is 0.516 eV per atom. The density of states at the Fermi level is 1.3 states/eV/cell.



# 8
# MgPAu2

MgPAu2 at its PBEsol-relaxed geometry (meta-GGA SCAN, Alexandria).

It has space group P4mm (No. 99), with a = 3.5013 Å, b = 3.5013 Å, c = 5.5727 Å, α = 90.00°, β = 90.00° and γ = 90.00°. The distinct sites, in fractional coordinates, are Mg at (0.0000, 0.0000, 0.0000), P at (0.5000, 0.5000, 0.3163), Au at (0.0000, 0.0000, 0.4760) and Au at (0.5000, 0.5000, 0.7789).

As for the relative energy among the computed polymorphs: 0.017 eV/atom. The value obtained for the energy relative to the elements is -0.171 eV per atom. The density of states at the Fermi level is 1.7 states/eV/cell.



# 9
# ScCoAg2

ScCoAg2 at its PBEsol-relaxed geometry (meta-GGA SCAN, Alexandria).

It has space group Immm (No. 71), with a = 3.7737 Å, b = 3.8033 Å, c = 8.6105 Å, α = 90.00°, β = 90.00° and γ = 90.00°. The distinct sites, in fractional coordinates, are Sc at (0.0000, 0.0000, 0.0000), Co at (0.0000, 0.0000, 0.5000) and Ag at (0.0000, 0.5000, 0.2492).

The value obtained for the energy relative to the elements is -0.048 eV per atom. The density of states at the Fermi level is 3.6 states/eV/cell.



# 10
# Ta2VRe

Ta2VRe at its PBEsol-relaxed geometry (meta-GGA SCAN, Alexandria).

It has space group Fm-3m (No. 225), with a = 6.2956 Å, b = 6.2956 Å, c = 6.2956 Å, α = 90.00°, β = 90.00° and γ = 90.00°. The distinct sites, in fractional coordinates, are Ta at (0.2500, 0.2500, 0.2500), V at (0.0000, 0.0000, 0.0000) and Re at (0.0000, 0.0000, 0.5000).

The value obtained for the energy relative to the elements is -0.331 eV per atom. The density of states at the Fermi level is 15.5 states/eV/cell.



# 11
# TlAu2

TlAu2 at its PBEsol-relaxed geometry (meta-GGA SCAN, Alexandria).

It has space group Cm (No. 8), with a = 10.6490 Å, b = 3.1157 Å, c = 7.3939 Å, α = 90.00°, β = 94.24° and γ = 90.00°. The distinct sites, in fractional coordinates, are Tl at (0.0000, 0.0000, 0.0000), Tl at (0.2414, 0.0000, 0.7043), Au at (0.0034, 0.5000, 0.6599), Au at (0.1413, 0.5000, 0.3524), Au at (0.2697, 0.0000, 0.1067) and Au at (0.4103, 0.5000, 0.3674).

As for the relative energy among the computed polymorphs: 0.051 eV/atom. The value obtained for the energy relative to the elements is 0.061 eV per atom. The density of states at the Fermi level is 4.1 states/eV/cell.



# 12
# Li2ScSb

Li2ScSb at its PBEsol-relaxed geometry (meta-GGA SCAN, Alexandria).

It has space group P4/mmm (No. 123), with a = 4.1310 Å, b = 4.1310 Å, c = 4.5711 Å, α = 90.00°, β = 90.00° and γ = 90.00°. The distinct sites, in fractional coordinates, are Li at (0.0000, 0.5000, 0.0000), Sc at (0.0000, 0.0000, 0.5000) and Sb at (0.5000, 0.5000, 0.5000).

As for the uncorrected formation energy: -55.2 kJ per mole of atoms. The density of states at the Fermi level is 1.1 states/eV/cell.



The calculation returns the following energy values, one per record and in order: -65.263 -21.618 -16.646 -31.275 -28.867 -21.823 -56.816 -38.593 -23.617 -55.770 -70.163 -14.642 eV per atom.